# 1
The following is a DFT calculation (PBE-GGA) of LiDySi2Pd5 after structural relaxation.

Values from the calculation:
The calculation puts the raw formation energy at -0.74 eV per atom. Its raw total energy is -5.556 eV/atom. Its symmetry is P4/mmm.

Unit cell a=4.087 b=4.087 c=9.077 alpha=90.00 beta=90.00 gamma=90.00
Fractional positions:
Li  0.000  0.000  0.000
Dy  0.000  0.000  0.500
Si  0.500  0.500  0.128
Si  0.500  0.500  0.872
Pd  0.000  0.500  0.264
Pd  0.500  0.000  0.264
Pd  0.000  0.500  0.736
Pd  0.500  0.000  0.736
Pd  0.500  0.500  0.500

# 2
The following is a DFT calculation (PBE-GGA) of LiDy2Si4Pd3 after structural relaxation.

Values from the calculation:
The calculation puts the raw formation energy at -0.78 eV per atom. Its raw total energy is -5.615 eV/atom. Its symmetry is P-4m2.

Unit cell a=4.105 b=4.105 c=10.230 alpha=90.00 beta=90.00 gamma=90.00
Fractional positions:
Li  0.500  0.500  0.500
Dy  0.500  0.000  0.252
Dy  0.000  0.500  0.748
Si  0.500  0.500  0.000
Si  0.000  0.000  0.000
Si  0.500  0.000  0.638
Si  0.000  0.500  0.362
Pd  0.000  0.000  0.500
Pd  0.500  0.000  0.874
Pd  0.000  0.500  0.126

# 3
The following is a DFT calculation (PBE-GGA) of Li2Dy2Si4Pd after structural relaxation.

Values from the calculation:
The calculation puts the raw formation energy at -0.56 eV per atom. Its raw total energy is -4.991 eV/atom. Its symmetry is I4/mmm.

Unit cell a=6.025 b=6.025 c=6.025 alpha=88.76 beta=120.72 gamma=120.72
Fractional positions:
Li  0.000  0.716  0.716
Li  0.000  0.284  0.284
Dy  0.500  0.750  0.250
Dy  0.500  0.250  0.750
Si  0.000  0.710  0.290
Si  0.420  0.710  0.710
Si  0.000  0.290  0.710
Si  0.580  0.290  0.290
Pd  0.000  0.000  0.000

# 4
The following is a DFT calculation (PBE-GGA) of LiDySi2Pd after structural relaxation.

Values from the calculation:
The calculation puts the raw formation energy at -0.78 eV per atom. Its raw total energy is -5.289 eV/atom. Its symmetry is I-4m2.

Unit cell a=3.990 b=3.990 c=5.997 alpha=109.43 beta=109.43 gamma=90.00
Fractional positions:
Li  0.250  0.750  0.500
Dy  0.000  0.000  0.000
Si  0.610  0.610  0.219
Si  0.390  0.390  0.781
Pd  0.750  0.250  0.500

# 5
The following is a DFT calculation (PBE-GGA) of LiDySi2Pd2 after structural relaxation.

Values from the calculation:
The calculation puts the raw formation energy at -0.80 eV per atom. Its raw total energy is -5.425 eV/atom. Its symmetry is P-3m1.

Unit cell a=4.192 b=4.192 c=6.576 alpha=90.00 beta=90.00 gamma=120.00
Fractional positions:
Li  0.000  0.000  0.500
Dy  0.000  0.000  0.000
Si  0.333  0.667  0.277
Si  0.667  0.333  0.723
Pd  0.333  0.667  0.660
Pd  0.667  0.333  0.340

# 6
The following is a DFT calculation (PBE-GGA) of LiDySn2Pd4 after structural relaxation.

Values from the calculation:
Its raw total energy is -5.148 eV/atom. Its symmetry is R-3m. The value obtained for the energy relative to the elements is -0.7364 eV per atom.

Unit cell a=4.628 b=4.628 c=8.202 alpha=73.61 beta=73.61 gamma=60.00
Fractional positions:
Li  0.500  0.500  0.500
Dy  0.000  0.000  0.000
Sn  0.755  0.755  0.736
Sn  0.245  0.245  0.264
Pd  0.387  0.387  0.840
Pd  0.874  0.874  0.379
Pd  0.126  0.126  0.621
Pd  0.613  0.613  0.160

# 7
The following is a DFT calculation (PBE-GGA) of LiTbDyPd after structural relaxation.

Values from the calculation:
Its raw total energy is -4.488 eV/atom. Its symmetry is F-43m. The value obtained for the energy relative to the elements is -0.4036 eV per atom.

Unit cell a=5.039 b=5.039 c=5.039 alpha=60.00 beta=60.00 gamma=60.00
Fractional positions:
Li  0.000  0.000  0.000
Tb  0.250  0.250  0.250
Pd  0.500  0.500  0.500
Dy  0.750  0.750  0.750

# 8
The following is a DFT calculation (PBE-GGA) of LiTbDy2Pd4 after structural relaxation.

Values from the calculation:
Its raw total energy is -5.351 eV/atom. Its symmetry is R-3m. The value obtained for the energy relative to the elements is -0.7865 eV per atom.

Unit cell a=4.881 b=4.881 c=8.341 alpha=72.98 beta=72.98 gamma=60.00
Fractional positions:
Li  0.500  0.500  0.500
Tb  0.000  0.000  0.000
Dy  0.758  0.758  0.727
Dy  0.242  0.242  0.273
Pd  0.375  0.375  0.875
Pd  0.879  0.879  0.364
Pd  0.121  0.121  0.636
Pd  0.625  0.625  0.125

# 9
The following is a DFT calculation (PBE-GGA) of Li2Dy2TmPd5 after structural relaxation.

Values from the calculation:
Its raw total energy is -5.106 eV/atom. Its symmetry is P4/mbm. The value obtained for the energy relative to the elements is -0.7594 eV per atom.

Unit cell a=3.662 b=9.883 c=9.883 alpha=90.00 beta=90.00 gamma=90.00
Fractional positions:
Li  0.000  0.121  0.621
Li  0.000  0.879  0.379
Li  0.000  0.621  0.879
Li  0.000  0.379  0.121
Dy  0.000  0.675  0.175
Dy  0.000  0.325  0.825
Dy  0.000  0.175  0.325
Dy  0.000  0.825  0.675
Tm  0.000  0.000  0.000
Tm  0.000  0.500  0.500
Pd  0.500  0.213  0.070
Pd  0.500  0.787  0.930
Pd  0.500  0.070  0.787
Pd  0.500  0.713  0.430
Pd  0.500  0.930  0.213
Pd  0.500  0.287  0.570
Pd  0.500  0.570  0.713
Pd  0.500  0.430  0.287
Pd  0.500  0.500  0.000
Pd  0.500  0.000  0.500

# 10
The following is a DFT calculation (PBE-GGA) of Li2DyY2Pd5 after structural relaxation.

Values from the calculation:
Its raw total energy is -5.474 eV/atom. Its symmetry is P4/mbm. The value obtained for the energy relative to the elements is -0.7417 eV per atom.

Unit cell a=3.684 b=9.925 c=9.925 alpha=90.00 beta=90.00 gamma=90.00
Fractional positions:
Li  0.000  0.120  0.620
Li  0.000  0.880  0.380
Li  0.000  0.620  0.880
Li  0.000  0.380  0.120
Dy  0.000  0.000  0.000
Dy  0.000  0.500  0.500
Y  0.000  0.675  0.175
Y  0.000  0.325  0.825
Y  0.000  0.175  0.325
Y  0.000  0.825  0.675
Pd  0.500  0.214  0.070
Pd  0.500  0.786  0.930
Pd  0.500  0.070  0.786
Pd  0.500  0.714  0.430
Pd  0.500  0.930  0.214
Pd  0.500  0.286  0.570
Pd  0.500  0.570  0.714
Pd  0.500  0.430  0.286
Pd  0.500  0.500  0.000
Pd  0.500  0.000  0.500

# 11
The following is a DFT calculation (PBE-GGA) of LiDy2YPd4 after structural relaxation.

Values from the calculation:
Its raw total energy is -5.579 eV/atom. Its symmetry is R-3m. The value obtained for the energy relative to the elements is -0.7851 eV per atom.

Unit cell a=4.878 b=4.878 c=8.344 alpha=73.00 beta=73.00 gamma=60.00
Fractional positions:
Li  0.500  0.500  0.500
Dy  0.757  0.757  0.728
Dy  0.243  0.243  0.272
Y  0.000  0.000  0.000
Pd  0.375  0.375  0.875
Pd  0.878  0.878  0.365
Pd  0.122  0.122  0.635
Pd  0.625  0.625  0.125

# 12
The following is a DFT calculation (PBE-GGA) of LiDyY2Pd4 after structural relaxation.

Values from the calculation:
Its raw total energy is -5.812 eV/atom. Its symmetry is R-3m. The value obtained for the energy relative to the elements is -0.7852 eV per atom.

Unit cell a=4.888 b=4.888 c=8.346 alpha=72.97 beta=72.97 gamma=60.00
Fractional positions:
Li  0.500  0.500  0.500
Dy  0.000  0.000  0.000
Y  0.758  0.758  0.727
Y  0.242  0.242  0.273
Pd  0.374  0.374  0.877
Pd  0.879  0.879  0.362
Pd  0.121  0.121  0.638
Pd  0.626  0.626  0.123

Record-wise spin magnetization values, in Bohr magnetons per cell: 0.0 0.0 0.0 0.0 0.0 0.0 0.0 0.0 0.0 0.0 0.0 0.0
Record-wise density of states at the Fermi level values, in states/eV/f.u.: 2.92 3.20 3.77 2.05 1.63 4.78 2.81 4.45 4.16 4.31 4.57 4.52